Here is crystalline NiSbOs2 at its relaxed geometry from Alexandria via LeMat-Bulk. Energies are from GGA-PBE.

Calculated values
E in eV/atom: -7.495
ΔE_f (raw) in meV per atom: 595
Magnetic moment in μB per cell: 0.0
ρ in g/cm3: 14.97

Cell: 4.487 2.892 4.802 Å, 87.20 90.00 90.00°
Atoms (fractional coordinates):
1 Ni 0.500 0.750 0.750
2 Os 0.000 0.991 0.976
3 Os 0.000 0.509 0.524
4 Sb 0.500 0.250 0.250